(1)
A plane-wave DFT calculation with PBE was carried out for crystalline LiTbSO at its relaxed geometry.

The space group is P2_1/c (No. 14) and the conventional cell measures 5.7439, 7.0393 and 6.1924 Å, with angles of 90.00, 99.90 and 90.00 degrees. The asymmetric unit holds Li at (0.1115, 0.2246, 0.0022), Tb at (0.3882, 0.5996, 0.2505), S at (0.1394, 0.5661, 0.7936) and O at (0.4195, 0.1859, 0.9265).

The value obtained for the excess energy over the best structure of this formula in the dataset is 96.9 meV/atom. For the total moment, the calculation gives 0.0 μB per cell.

(2)
A plane-wave DFT calculation with PBE was carried out for crystalline LuAgAsO at its relaxed geometry.

The space group is P4/nmm (No. 129, origin choice 2) and the conventional cell measures 3.8844, 3.8844 and 9.3164 Å, with angles of 90.00, 90.00 and 90.00 degrees. The asymmetric unit holds Lu at (0.2500, 0.2500, 0.1105), Ag at (0.2500, 0.7500, 0.5000), As at (0.2500, 0.2500, 0.7029) and O at (0.2500, 0.7500, 0.0000).

The value obtained for the excess energy over the best structure of this formula in the dataset is 0.0 meV/atom. For the total moment, the calculation gives 0.0 μB per cell.

- total moment of number 2 (LuAgAsO)?
  0.0 μB per cell

- total moment of number 1 (LiTbSO)?
  0.0 μB per cell